The following is a PBE-GGA calculation of a relaxed structure of MgPb4Au, from Alexandria via LeMat-Bulk.

Cell lengths 6.386, 6.386, 6.386 Å; angles 60.00, 60.00, 60.00 degrees
Fractional positions:
Mg 0.000 0.000 0.000
Pb 0.125 0.625 0.625
Pb 0.625 0.125 0.625
Pb 0.625 0.625 0.125
Pb 0.625 0.625 0.625
Au 0.250 0.250 0.250

Calculated values
E (eV/atom): -2.986

***

The following is a PBE-GGA calculation of a relaxed structure of Mg7PbAu2, from Alexandria via LeMat-Bulk.

Cell lengths 11.163, 11.163, 11.163 Å; angles 156.17, 156.17, 33.95 degrees
Fractional positions:
Mg 0.000 0.000 0.000
Mg 0.104 0.604 0.500
Mg 0.250 0.750 0.500
Mg 0.396 0.896 0.500
Mg 0.604 0.104 0.500
Mg 0.750 0.250 0.500
Mg 0.896 0.396 0.500
Pb 0.500 0.500 0.000
Au 0.173 0.173 0.000
Au 0.827 0.827 0.000

Calculated values
E (eV/atom): -2.459

***

The following is a PBE-GGA calculation of a relaxed structure of MgPbAu5, from Alexandria via LeMat-Bulk.

Cell lengths 4.091, 4.091, 8.753 Å; angles 90.00, 90.00, 90.00 degrees
Fractional positions:
Mg 0.000 0.000 0.000
Pb 0.500 0.500 0.500
Au 0.000 0.500 0.239
Au 0.000 0.500 0.761
Au 0.500 0.000 0.239
Au 0.500 0.000 0.761
Au 0.500 0.500 0.000

Calculated values
E (eV/atom): -3.302

***

The following is a PBE-GGA calculation of a relaxed structure of Mg2PbAu2, from Alexandria via LeMat-Bulk.

Cell lengths 6.789, 6.789, 6.789 Å; angles 142.82, 142.82, 53.59 degrees
Fractional positions:
Mg 0.250 0.750 0.500
Mg 0.750 0.250 0.500
Pb 0.000 0.000 0.000
Au 0.385 0.385 0.000
Au 0.615 0.615 0.000

Calculated values
E (eV/atom): -3.015

***

The following is a PBE-GGA calculation of a relaxed structure of MgPdPbAu2, from Alexandria via LeMat-Bulk.

Cell lengths 5.243, 5.243, 5.134 Å; angles 90.00, 90.00, 90.00 degrees
Fractional positions:
Mg 0.000 0.000 0.000
Pd 0.500 0.500 0.000
Pb 0.500 0.500 0.500
Au 0.000 0.500 0.500
Au 0.500 0.000 0.500

Calculated values
E (eV/atom): -2.877

***

The following is a PBE-GGA calculation of a relaxed structure of MgPdPbAu, from Alexandria via LeMat-Bulk.

Cell lengths 4.820, 4.820, 4.820 Å; angles 60.00, 60.00, 60.00 degrees
Fractional positions:
Mg 0.000 0.000 0.000
Pd 0.750 0.750 0.750
Pb 0.500 0.500 0.500
Au 0.250 0.250 0.250

Calculated values
E (eV/atom): -3.786

***

The following is a PBE-GGA calculation of a relaxed structure of RbMg2PbAu, from Alexandria via LeMat-Bulk.

Cell lengths 6.114, 6.114, 5.705 Å; angles 90.00, 90.00, 90.00 degrees
Fractional positions:
Rb 0.000 0.000 0.000
Mg 0.000 0.500 0.000
Mg 0.500 0.000 0.000
Pb 0.500 0.500 0.500
Au 0.000 0.000 0.500

Calculated values
E (eV/atom): -1.242

***

The following is a PBE-GGA calculation of a relaxed structure of MgRhPbAu, from Alexandria via LeMat-Bulk.

Cell lengths 4.746, 4.746, 4.746 Å; angles 60.00, 60.00, 60.00 degrees
Fractional positions:
Mg 0.000 0.000 0.000
Rh 0.750 0.750 0.750
Pb 0.500 0.500 0.500
Au 0.250 0.250 0.250

Calculated values
E (eV/atom): -4.143

***

The following is a PBE-GGA calculation of a relaxed structure of MgSi2Pb2Au7, from Alexandria via LeMat-Bulk.

Cell lengths 4.223, 4.223, 15.257 Å; angles 97.97, 97.97, 89.59 degrees
Fractional positions:
Mg 0.000 0.000 0.000
Si 0.386 0.386 0.774
Si 0.614 0.614 0.226
Pb 0.209 0.209 0.415
Pb 0.791 0.791 0.585
Au 0.069 0.570 0.137
Au 0.307 0.307 0.613
Au 0.430 0.931 0.863
Au 0.500 0.500 0.000
Au 0.570 0.069 0.137
Au 0.693 0.693 0.387
Au 0.931 0.430 0.863

Calculated values
E (eV/atom): -3.687
E_form (uncorrected) (kJ per mole of atoms): -11.6

***

The following is a PBE-GGA calculation of a relaxed structure of SmMgPbAu, from Alexandria via LeMat-Bulk.

Cell lengths 5.176, 5.176, 5.176 Å; angles 60.00, 60.00, 60.00 degrees
Fractional positions:
Sm 0.000 0.000 0.000
Mg 0.500 0.500 0.500
Pb 0.750 0.750 0.750
Au 0.250 0.250 0.250

Calculated values
E (eV/atom): -3.842

***

The following is a PBE-GGA calculation of a relaxed structure of SrMgPbAu, from Alexandria via LeMat-Bulk.

Cell lengths 5.298, 5.298, 5.298 Å; angles 60.00, 60.00, 60.00 degrees
Fractional positions:
Sr 0.000 0.000 0.000
Mg 0.500 0.500 0.500
Pb 0.250 0.250 0.250
Au 0.750 0.750 0.750

Calculated values
E (eV/atom): -2.963

***

The following is a PBE-GGA calculation of a relaxed structure of MgTaPbAu2, from Alexandria via LeMat-Bulk.

Cell lengths 5.273, 5.273, 5.140 Å; angles 90.00, 90.00, 90.00 degrees
Fractional positions:
Mg 0.000 0.000 0.000
Ta 0.500 0.500 0.000
Pb 0.000 0.000 0.500
Au 0.000 0.500 0.500
Au 0.500 0.000 0.500

Calculated values
E (eV/atom): -3.298